1.
Entry from the Alexandria database: an optimized crystal structure of Sm3Al7Ga4 (GGA-PBE).

Total energy (eV for the cell shown): -58.57
Density (Mg/m³): 5.54
DFT formation energy (meV/atom): -436

abc: 8.371 8.371 9.942
angles: 125.09 125.09 29.42
Positions (direct):
Sm1 0.000 0.000 0.000
Sm2 0.319 0.319 0.316
Sm3 0.681 0.681 0.684
Al1 0.000 0.000 0.500
Al2 0.151 0.151 0.421
Al3 0.329 0.329 0.974
Al4 0.493 0.493 0.710
Al5 0.507 0.507 0.290
Al6 0.671 0.671 0.026
Al7 0.849 0.849 0.579
Ga1 0.128 0.128 0.850
Ga2 0.336 0.336 0.722
Ga3 0.664 0.664 0.278
Ga4 0.872 0.872 0.150

2.
Entry from the Alexandria database: an optimized crystal structure of PmRuN2 (GGA-PBE).

Formation energy without anion corrections (eV per atom): -0.18
Total energy (eV for the cell shown): -31.41
Density (Mg/m³): 6.37

abc: 6.180 6.180 6.180
angles: 35.58 35.58 35.58
Positions (direct):
Pm1 0.000 0.000 0.000
Ru1 0.500 0.500 0.500
N1 0.396 0.396 0.396
N2 0.604 0.604 0.604